(1)
Zn3InSn: relaxed, PBEsol. Values from VASP.

**ΔH_f (0 K)**: 0.6209 eV/atom
**Fermi-level density of states**: 3.1 states/eV/cell
**Size of the total moment**: 0.00 μB per cell

```
&SYSTEM
  ibrav = 0, nat = 5, ntyp = 3
/
ATOMIC_SPECIES
In 114.82 In.upf
Zn 65.41 Zn.upf
Sn 118.71 Sn.upf
ATOMIC_POSITIONS crystal
In 0.000 0.000 0.000
Zn 0.500 0.000 0.000
Zn 0.000 0.000 0.500
Zn 0.000 0.500 0.000
Sn 0.500 0.500 0.500
CELL_PARAMETERS angstrom
4.994 0.000 0.000
0.000 4.994 0.000
0.000 0.000 4.994
```

=====

(2)
SrIn4: relaxed, PBEsol. Values from VASP.

**ΔH_f (0 K)**: -0.3226 eV/atom
**Fermi-level density of states**: 3.3 states/eV/cell
**Size of the total moment**: 0.00 μB per cell

```
&SYSTEM
  ibrav = 0, nat = 10, ntyp = 2
/
ATOMIC_SPECIES
In 114.82 In.upf
Sr 87.62 Sr.upf
ATOMIC_POSITIONS crystal
In 0.150 0.751 0.949
In 0.422 0.732 0.424
In 0.849 0.954 0.348
In 0.151 0.046 0.652
In 0.578 0.268 0.576
In 0.565 0.770 0.100
In 0.850 0.249 0.051
In 0.435 0.230 0.900
Sr 0.168 0.374 0.290
Sr 0.832 0.626 0.710
CELL_PARAMETERS angstrom
-2.010 -3.826 2.866
0.990 -5.879 -2.462
7.187 -3.655 4.853
```